# 1
PmHoTmCd | GGA-PBE | relaxed

Crystal system = tetragonal
Magnetic moment = 0.00 μB/f.u.
Energy above the most stable polymorph in this dataset = 0.000 eV per atom
Mass density = 8.434 Mg/m³
Calculated formation energy = -0.149 eV/atom

Structure (extended XYZ):
```
4
Lattice="3.593 0.000 0.000 0.000 3.593 0.000 0.000 0.000 9.017" Properties=species:S:1:pos:R:3 pbc="T T T"
Pm 0.000 0.000 0.000
Ho 1.797 1.797 6.499
Tm 1.797 1.797 2.496
Cd 0.000 0.000 4.472
```

=====

# 2
Tb2Mg3Pd4 | GGA-PBE | relaxed

Crystal system = orthorhombic
Magnetic moment = 0.00 μB/f.u.
Mass density = 7.613 Mg/m³
Calculated formation energy = -0.699 eV/atom

Structure (extended XYZ):
```
18
Lattice="2.903 -8.220 0.000 2.903 8.220 0.000 0.000 0.000 7.462" Properties=species:S:1:pos:R:3 pbc="T T T"
Tb 2.903 6.518 6.805
Tb 2.903 1.702 3.073
Tb 2.903 -1.702 4.389
Tb 2.903 -6.518 0.658
Mg 0.000 0.000 3.731
Mg 1.452 3.764 5.597
Mg 1.452 -3.764 1.866
Mg 2.903 0.000 0.000
Mg 4.355 3.764 5.597
Mg 4.355 -3.764 1.866
Pd 2.903 5.473 3.986
Pd 1.452 1.074 5.597
Pd 1.452 -1.074 1.866
Pd 2.903 2.747 0.255
Pd 2.903 -2.747 7.207
Pd 4.355 1.074 5.597
Pd 4.355 -1.074 1.866
Pd 2.903 -5.473 3.476
```

=====

# 3
BaBeBr2 | GGA-PBE | relaxed

Crystal system = tetragonal
Magnetic moment = 0.00 μB/f.u.
Raw formation energy = -654 meV/atom
Energy above the most stable polymorph in this dataset = 0.219 eV per atom
Mass density = 4.152 Mg/m³

Structure (extended XYZ):
```
4
Lattice="-2.364 2.364 5.478 2.364 -2.364 5.478 2.364 2.364 -5.478" Properties=species:S:1:pos:R:3 pbc="T T T"
Ba 0.000 0.000 0.000
Be 2.364 0.000 2.739
Br 0.000 0.000 5.478
Br 0.000 2.364 2.739
```